# 1
# SCAN CaInTe2, single point on PBEsol structure
data_CaInTe2
_space_group_name_H-M_alt 'P 4 m m'
_space_group_IT_number 99
_cell_length_a 4.3914
_cell_length_b 4.3914
_cell_length_c 6.3097
_cell_angle_alpha 90.00
_cell_angle_beta 90.00
_cell_angle_gamma 90.00
loop_
_space_group_symop_operation_xyz
'x,y,z'
'-y,x,z'
'-x,-y,z'
'y,-x,z'
'-x,y,z'
'y,x,z'
'x,-y,z'
'-y,-x,z'
loop_
_atom_site_label
_atom_site_type_symbol
_atom_site_fract_x
_atom_site_fract_y
_atom_site_fract_z
Ca1 Ca 0.0000 0.0000 0.0000
In1 In 0.5000 0.5000 0.5035
Te1 Te 0.0000 0.0000 0.5002
Te2 Te 0.5000 0.5000 0.0017
# Total moment: 0.0 μB/f.u.
# Fermi-level density of states: 0.963 states/eV/f.u.
# Formation energy without anion corrections: -99.8 kJ per mole of atoms

---

# 2
# SCAN YGe3Sb, single point on PBEsol structure
data_YGe3Sb
_space_group_name_H-M_alt 'P m -3 m'
_space_group_IT_number 221
_space_group_name_Hall '-P 4 2 3'
_cell_length_a 5.1492
_cell_length_b 5.1492
_cell_length_c 5.1492
_cell_angle_alpha 90.00
_cell_angle_beta 90.00
_cell_angle_gamma 90.00
loop_
_atom_site_label
_atom_site_type_symbol
_atom_site_fract_x
_atom_site_fract_y
_atom_site_fract_z
Y1 Y 0.0000 0.0000 0.0000
Ge1 Ge 0.0000 0.5000 0.5000
Sb1 Sb 0.5000 0.5000 0.5000
# Total moment: 0.0 μB/f.u.
# Fermi-level density of states: 4.457 states/eV/f.u.
# Formation energy without anion corrections: 61.5 kJ per mole of atoms
# ΔE to the lowest computed polymorph: 0.000 kcal/mol of atoms

---

# 3
# SCAN Zn, single point on PBEsol structure
data_Zn
_space_group_name_H-M_alt 'P 6/m m m'
_space_group_IT_number 191
_space_group_name_Hall '-P 6 2'
_cell_length_a 4.3218
_cell_length_b 4.3218
_cell_length_c 2.6919
_cell_angle_alpha 90.00
_cell_angle_beta 90.00
_cell_angle_gamma 120.00
loop_
_atom_site_label
_atom_site_type_symbol
_atom_site_fract_x
_atom_site_fract_y
_atom_site_fract_z
Zn1 Zn 0.0000 0.0000 0.0000
Zn2 Zn 0.3333 0.6667 0.5000
# Formation energy: 0.12 eV/atom
# Total moment: 0.0 μB/f.u.
# Fermi-level density of states: 0.203 states/eV/f.u.
# ΔE to the lowest computed polymorph: 2.860 kcal/mol of atoms

---

# 4
# SCAN Ba3DyRu2O9, single point on PBEsol structure
data_Ba3DyRu2O9
_space_group_name_H-M_alt 'P 63/m m c'
_space_group_IT_number 194
_space_group_name_Hall '-P 6c 2c'
_cell_length_a 5.8595
_cell_length_b 5.8595
_cell_length_c 14.3636
_cell_angle_alpha 90.00
_cell_angle_beta 90.00
_cell_angle_gamma 120.00
loop_
_atom_site_label
_atom_site_type_symbol
_atom_site_fract_x
_atom_site_fract_y
_atom_site_fract_z
Ba1 Ba 0.0000 0.0000 0.2500
Ba2 Ba 0.3333 0.6667 0.0947
Dy1 Dy 0.0000 0.0000 0.0000
Ru1 Ru 0.3333 0.6667 0.6647
O1 O 0.0181 0.5090 0.7500
O2 O 0.1767 0.3533 0.5884
# Total moment: 3.0 μB/f.u.
# Fermi-level density of states: 4.885 states/eV/f.u.
# Formation energy without anion corrections: -241.9 kJ per mole of atoms

---

# 5
# SCAN CaGa2P2, single point on PBEsol structure
data_CaGa2P2
_space_group_name_H-M_alt 'I 4/m m m'
_space_group_IT_number 139
_space_group_name_Hall '-I 4 2'
_cell_length_a 3.8857
_cell_length_b 3.8857
_cell_length_c 12.6741
_cell_angle_alpha 90.00
_cell_angle_beta 90.00
_cell_angle_gamma 90.00
loop_
_atom_site_label
_atom_site_type_symbol
_atom_site_fract_x
_atom_site_fract_y
_atom_site_fract_z
Ca1 Ca 0.0000 0.0000 0.0000
Ga1 Ga 0.0000 0.5000 0.2500
P1 P 0.0000 0.0000 0.4129
# Formation energy: -0.32 eV/atom
# Total moment: 0.0 μB/f.u.
# Fermi-level density of states: 2.049 states/eV/f.u.
# ΔE to the lowest computed polymorph: 10.316 kcal/mol of atoms

---

# 6
# SCAN Ti2SbC, single point on PBEsol structure
data_Ti2SbC
_space_group_name_H-M_alt 'F m -3 m'
_space_group_IT_number 225
_space_group_name_Hall '-F 4 2 3'
_cell_length_a 6.2136
_cell_length_b 6.2136
_cell_length_c 6.2136
_cell_angle_alpha 90.00
_cell_angle_beta 90.00
_cell_angle_gamma 90.00
loop_
_atom_site_label
_atom_site_type_symbol
_atom_site_fract_x
_atom_site_fract_y
_atom_site_fract_z
Ti1 Ti 0.2500 0.2500 0.2500
Sb1 Sb 0.0000 0.0000 0.0000
C1 C 0.0000 0.0000 0.5000
# Total moment: 0.0 μB/f.u.
# Fermi-level density of states: 5.484 states/eV/f.u.
# Formation energy without anion corrections: 63.4 kJ per mole of atoms

---

# 7
# SCAN CaTlRh2, single point on PBEsol structure
data_CaTlRh2
_space_group_name_H-M_alt 'F m -3 m'
_space_group_IT_number 225
_space_group_name_Hall '-F 4 2 3'
_cell_length_a 6.5499
_cell_length_b 6.5499
_cell_length_c 6.5499
_cell_angle_alpha 90.00
_cell_angle_beta 90.00
_cell_angle_gamma 90.00
loop_
_atom_site_label
_atom_site_type_symbol
_atom_site_fract_x
_atom_site_fract_y
_atom_site_fract_z
Ca1 Ca 0.0000 0.0000 0.0000
Tl1 Tl 0.0000 0.0000 0.5000
Rh1 Rh 0.2500 0.2500 0.2500
# Formation energy: -0.22 eV/atom
# Total moment: 0.0 μB/f.u.
# Fermi-level density of states: 2.112 states/eV/f.u.

---

# 8
# SCAN La3Cu, single point on PBEsol structure
data_La3Cu
_space_group_name_H-M_alt 'F m -3 m'
_space_group_IT_number 225
_space_group_name_Hall '-F 4 2 3'
_cell_length_a 7.4193
_cell_length_b 7.4193
_cell_length_c 7.4193
_cell_angle_alpha 90.00
_cell_angle_beta 90.00
_cell_angle_gamma 90.00
loop_
_atom_site_label
_atom_site_type_symbol
_atom_site_fract_x
_atom_site_fract_y
_atom_site_fract_z
La1 La 0.0000 0.0000 0.0000
La2 La 0.2500 0.2500 0.2500
Cu1 Cu 0.0000 0.0000 0.5000
# Formation energy: 0.18 eV/atom
# Total moment: 0.0 μB/f.u.
# Fermi-level density of states: 5.301 states/eV/f.u.

---

# 9
# SCAN YMgAsPd2, single point on PBEsol structure
data_YMgAsPd2
_space_group_name_H-M_alt 'P 4/m m m'
_space_group_IT_number 123
_space_group_name_Hall '-P 4 2'
_cell_length_a 4.8414
_cell_length_b 4.8414
_cell_length_c 5.6528
_cell_angle_alpha 90.00
_cell_angle_beta 90.00
_cell_angle_gamma 90.00
loop_
_atom_site_label
_atom_site_type_symbol
_atom_site_fract_x
_atom_site_fract_y
_atom_site_fract_z
Y1 Y 0.0000 0.0000 0.0000
Mg1 Mg 0.0000 0.0000 0.5000
As1 As 0.5000 0.5000 0.5000
Pd1 Pd 0.0000 0.5000 0.0000
# Formation energy: 0.93 eV/atom
# Total moment: 0.0 μB/f.u.
# Fermi-level density of states: 2.836 states/eV/f.u.

---

# 10
# SCAN MgAl2Rh, single point on PBEsol structure
data_MgAl2Rh
_space_group_name_H-M_alt 'F -4 3 m'
_space_group_IT_number 216
_space_group_name_Hall 'F -4 2 3'
_cell_length_a 6.2025
_cell_length_b 6.2025
_cell_length_c 6.2025
_cell_angle_alpha 90.00
_cell_angle_beta 90.00
_cell_angle_gamma 90.00
loop_
_atom_site_label
_atom_site_type_symbol
_atom_site_fract_x
_atom_site_fract_y
_atom_site_fract_z
Mg1 Mg 0.0000 0.0000 0.0000
Al1 Al 0.0000 0.0000 0.5000
Al2 Al 0.2500 0.2500 0.7500
Rh1 Rh 0.2500 0.2500 0.2500
# Formation energy: -0.46 eV/atom
# Total moment: 0.0 μB/f.u.
# Fermi-level density of states: 1.253 states/eV/f.u.

---

# 11
# SCAN Ho2Ga9Co3, single point on PBEsol structure
data_Ho2Ga9Co3
_space_group_name_H-M_alt 'C m c m'
_space_group_IT_number 63
_space_group_name_Hall '-C 2c 2'
_cell_length_a 12.5080
_cell_length_b 7.2602
_cell_length_c 9.2420
_cell_angle_alpha 90.00
_cell_angle_beta 90.00
_cell_angle_gamma 90.00
loop_
_atom_site_label
_atom_site_type_symbol
_atom_site_fract_x
_atom_site_fract_y
_atom_site_fract_z
Ho1 Ho 0.1642 0.1672 0.2500
Ga1 Ga 0.0000 0.1208 0.7500
Ga2 Ga 0.0000 0.3334 0.0586
Ga3 Ga 0.1072 0.4438 0.7500
Ga4 Ga 0.1671 0.1671 0.5721
Co1 Co 0.0000 0.0000 0.0000
Co2 Co 0.1709 0.5000 0.0000
# Formation energy: -0.51 eV/atom
# Total moment: 0.0 μB/f.u.
# Fermi-level density of states: 5.266 states/eV/f.u.

---

# 12
# SCAN BaSr, single point on PBEsol structure
data_BaSr
_space_group_name_H-M_alt 'P -6 m 2'
_space_group_IT_number 187
_space_group_name_Hall 'P -6 2'
_cell_length_a 4.2408
_cell_length_b 4.2408
_cell_length_c 7.0321
_cell_angle_alpha 90.00
_cell_angle_beta 90.00
_cell_angle_gamma 120.00
loop_
_atom_site_label
_atom_site_type_symbol
_atom_site_fract_x
_atom_site_fract_y
_atom_site_fract_z
Ba1 Ba 0.0000 0.0000 0.0000
Sr1 Sr 0.3333 0.6667 0.5000
# Formation energy: 0.03 eV/atom
# Total moment: 0.1 μB/f.u.
# Fermi-level density of states: 2.194 states/eV/f.u.
# ΔE to the lowest computed polymorph: 0.419 kcal/mol of atoms

---

total moment of number 4 (Ba3DyRu2O9)? 3.0 μB/f.u.